# 1
# Tb6Te3PtRh2

A relaxed structure of Tb6Te3PtRh2 (PBE-GGA, Alexandria).

Geometry as POSCAR:
```
Tb6Te3PtRh2
1.0
-0.3291 3.7737 -6.0866
4.8653 -5.2151 0.7268
-6.2655 -4.3368 -0.9448
Tb Te Pt Rh
6 3 1 2
Direct
0.9300 0.5898 0.7899
0.7292 0.7292 0.2081
0.0700 0.4102 0.2101
0.5898 0.9300 0.7899
0.2708 0.2708 0.7919
0.4102 0.0700 0.2101
0.1648 0.8352 0.5000
0.8352 0.1648 0.5000
0.5000 0.5000 0.5000
0.0000 0.0000 0.0000
0.3328 0.6672 0.0000
0.6672 0.3328 0.0000
```

Symmetry: C2/m, No. 12
E_form (uncorrected) in kcal/mol of atoms: -25.8

# 2
# CeEr2Au

A relaxed structure of CeEr2Au (PBE-GGA, Alexandria).

Geometry as POSCAR:
```
CeEr2Au
1.0
4.4926 0.0000 0.0000
0.0000 4.7987 0.0000
0.0000 0.0000 4.7987
Au Ce Er
1 1 2
Direct
0.5000 0.0000 0.0000
0.5000 0.5000 0.5000
0.0000 0.0000 0.5000
0.0000 0.5000 0.0000
```

Symmetry: P4/mmm, No. 123
E above lowest polymorph in meV/atom: 183

# 3
# TiAlTcOs

A relaxed structure of TiAlTcOs (PBE-GGA, Alexandria).

Geometry as POSCAR:
```
TiAlTcOs
1.0
-2.2029 -0.7193 -2.0639
1.6973 -3.8810 -0.4591
-2.5303 -1.4874 3.2191
Ti Al Tc Os
1 1 1 1
Direct
0.5000 0.0000 0.5000
0.5000 0.5000 0.0000
0.0000 0.5000 0.5000
0.0000 0.0000 0.0000
```

Symmetry: Pmmm, No. 47
Calculated total energy in eV per atom: -8.80

# 4
# CeMgAsAu

A relaxed structure of CeMgAsAu (PBE-GGA, Alexandria).

Geometry as POSCAR:
```
CeMgAsAu
1.0
-4.0384 -2.4938 -1.5622
-3.1158 -2.0453 3.3282
-4.5536 1.9413 0.6810
As Au Mg Ce
1 1 1 1
Direct
0.5000 0.5000 0.5000
0.0000 0.0000 0.0000
0.2500 0.2500 0.2500
0.7500 0.7500 0.7500
```

Symmetry: F-43m, No. 216
Calculated total energy in eV per atom: -4.57

# 5
# La2I

A relaxed structure of La2I (PBE-GGA, Alexandria).

Geometry as POSCAR:
```
La2I
1.0
-0.0321 2.6481 -2.8919
-2.9086 -2.6130 0.2981
-12.2172 15.2024 14.0564
La I
6 3
Direct
0.0000 0.0000 0.3151
0.0000 0.0000 0.6849
0.3333 0.6667 0.5625
0.6667 0.3333 0.1035
0.3333 0.6667 0.8965
0.6667 0.3333 0.4375
0.0000 0.0000 0.0000
0.3333 0.6667 0.2056
0.6667 0.3333 0.7944
```

Symmetry: P-3m1, No. 164
E_form (uncorrected) in kcal/mol of atoms: -14.5
E above lowest polymorph in meV/atom: 0

# 6
# LaCeCdRu

A relaxed structure of LaCeCdRu (PBE-GGA, Alexandria).

Geometry as POSCAR:
```
LaCeCdRu
1.0
-1.6799 1.9696 4.5113
-4.4570 -1.6939 2.0783
0.0816 -2.9199 4.3036
Ru Cd Ce La
1 1 1 1
Direct
0.7500 0.7500 0.7500
0.2500 0.2500 0.2500
0.5000 0.5000 0.5000
0.0000 0.0000 0.0000
```

Symmetry: F-43m, No. 216
Calculated total energy in eV per atom: -5.39

# 7
# Cr2ReTe

A relaxed structure of Cr2ReTe (PBE-GGA, Alexandria).

Geometry as POSCAR:
```
Cr2ReTe
1.0
-0.3795 5.5723 1.8581
-3.9440 -1.6216 4.0574
1.9481 1.0469 6.5816
Re Te Cr
2 2 4
Direct
0.0000 0.0000 0.0000
0.7500 0.2500 0.5000
0.5000 0.5000 0.0000
0.2500 0.7500 0.5000
0.6650 0.1250 0.2500
0.0850 0.6250 0.2500
0.3750 0.3350 0.7500
0.8750 0.9150 0.7500
```

Symmetry: I-42d, No. 122
E_form (uncorrected) in kcal/mol of atoms: 25.1

# 8
# TaBeCu2

A relaxed structure of TaBeCu2 (PBE-GGA, Alexandria).

Geometry as POSCAR:
```
TaBeCu2
1.0
-0.5747 -1.0566 -3.9823
4.1203 -0.2171 -0.5310
-1.8250 -2.1819 3.0133
Be Cu Ta
1 2 1
Direct
0.7499 0.2501 0.5000
0.9999 0.0001 0.0000
0.2502 0.7498 0.5000
0.5000 0.5000 0.0000
```

Symmetry: I-4m2, No. 119
Calculated total energy in eV per atom: -5.79

# 9
# LiZrAgI6

A relaxed structure of LiZrAgI6 (PBE-GGA, Alexandria).

Geometry as POSCAR:
```
LiZrAgI6
1.0
7.3688 0.0000 0.0000
-3.6844 6.3815 0.0000
0.0000 0.0000 13.6078
Li Zr Ag I
2 2 2 12
Direct
0.3333 0.6667 0.2500
0.6667 0.3333 0.7500
0.6667 0.3333 0.2500
0.3333 0.6667 0.7500
0.0000 0.0000 0.0000
0.0000 0.0000 0.5000
0.6577 0.6488 0.1279
0.9911 0.3423 0.1279
0.3423 0.9911 0.6279
0.0089 0.6577 0.8721
0.3512 0.3423 0.3721
0.9911 0.6488 0.3721
0.6488 0.9911 0.8721
0.6577 0.0089 0.3721
0.0089 0.3512 0.6279
0.3512 0.0089 0.1279
0.6488 0.6577 0.6279
0.3423 0.3512 0.8721
```

Symmetry: P-31c, No. 163
E_form (uncorrected) in kcal/mol of atoms: -18.0

# 10
# La6GeIr3

A relaxed structure of La6GeIr3 (PBE-GGA, Alexandria).

Geometry as POSCAR:
```
La6GeIr3
1.0
4.3136 0.0000 0.0000
0.0000 11.3324 -3.5980
0.0000 -0.1607 12.2449
La Ge Ir
12 2 6
Direct
0.7500 0.4624 0.6059
0.2500 0.5376 0.3941
0.7500 0.9210 0.0930
0.2500 0.0790 0.9070
0.7500 0.3971 0.0604
0.2500 0.6029 0.9396
0.7500 0.7273 0.2648
0.2500 0.2727 0.7352
0.7500 0.1226 0.4603
0.2500 0.8774 0.5397
0.7500 0.7955 0.7599
0.2500 0.2045 0.2401
0.7500 0.0488 0.6950
0.2500 0.9512 0.3050
0.7500 0.4432 0.8344
0.2500 0.5568 0.1656
0.7500 0.6902 0.4987
0.2500 0.3098 0.5013
0.7500 0.1570 0.0830
0.2500 0.8430 0.9170
```

Symmetry: P2_1/m, No. 11
Calculated total energy in eV per atom: -6.78

# 11
# Ac2Mn2N5

A relaxed structure of Ac2Mn2N5 (PBE-GGA, Alexandria).

Geometry as POSCAR:
```
Ac2Mn2N5
1.0
-2.0137 -2.0451 2.8005
5.2867 1.2412 1.8368
-3.3487 5.0682 1.2933
Ac Mn N
2 2 5
Direct
0.4061 0.8121 0.6926
0.5939 0.1879 0.3074
0.1582 0.3164 0.8962
0.8418 0.6836 0.1038
0.3309 0.6618 0.0513
0.6691 0.3382 0.9487
0.1474 0.2948 0.6063
0.8526 0.7052 0.3937
0.0000 0.0000 0.0000
```

Symmetry: C2/m, No. 12
E_form (uncorrected) in kcal/mol of atoms: -13.7

# 12
# Ce2PrTmSb5

A relaxed structure of Ce2PrTmSb5 (PBE-GGA, Alexandria).

Geometry as POSCAR:
```
Ce2PrTmSb5
1.0
-0.3039 5.0487 -1.4413
-0.5636 -1.4667 -5.0190
-11.6592 -0.3027 1.3978
Ce Pr Tm Sb
2 1 1 5
Direct
0.5000 0.5000 0.2864
0.5000 0.5000 0.7136
0.0000 0.0000 0.0000
0.0000 0.0000 0.5000
0.0000 0.5000 0.5000
0.5000 0.0000 0.5000
0.0000 0.0000 0.7472
0.0000 0.0000 0.2528
0.5000 0.5000 0.0000
```

Symmetry: P4/mmm, No. 123
E_form (uncorrected) in kcal/mol of atoms: -8.0